Entry 1:
# Ba8Na2Ag3 (GGA-PBE, optimized geometry)
# formation energy	-23	meV/atom
# E_tot	-2.07	eV per atom
data_Ba8Na2Ag3
_cell_length_a 5.959
_cell_length_b 11.926
_cell_length_c 10.711
_cell_angle_alpha 123.82
_cell_angle_beta 90.00
_cell_angle_gamma 90.00
_space_group_name_H-M_alt 'P 1'
_space_group_IT_number 1
loop_
_space_group_symop_operation_xyz
'x,y,z'
loop_
_atom_site_label
_atom_site_type_symbol
_atom_site_fract_x
_atom_site_fract_y
_atom_site_fract_z
Ba1 Ba 0.000 0.613 0.225
Ba2 Ba 0.000 0.387 0.775
Ba3 Ba 0.000 0.109 0.217
Ba4 Ba 0.000 0.891 0.783
Ba5 Ba 0.500 0.643 0.780
Ba6 Ba 0.500 0.136 0.778
Ba7 Ba 0.500 0.864 0.222
Ba8 Ba 0.500 0.357 0.220
Na1 Na 0.500 0.250 0.499
Na2 Na 0.500 0.750 0.501
Ag1 Ag 0.500 0.000 0.000
Ag2 Ag 0.000 0.255 0.000
Ag3 Ag 0.000 0.745 0.000



Entry 2:
# BaNa6Ag6 (GGA-PBE, optimized geometry)
# formation energy	-57	meV/atom
# E_tot	-2.13	eV per atom
data_BaNa6Ag6
_cell_length_a 5.776
_cell_length_b 8.022
_cell_length_c 8.022
_cell_angle_alpha 83.24
_cell_angle_beta 68.90
_cell_angle_gamma 68.90
_space_group_name_H-M_alt 'P 1'
_space_group_IT_number 1
loop_
_space_group_symop_operation_xyz
'x,y,z'
loop_
_atom_site_label
_atom_site_type_symbol
_atom_site_fract_x
_atom_site_fract_y
_atom_site_fract_z
Ba1 Ba 0.000 0.000 0.000
Na1 Na 0.354 0.646 0.646
Na2 Na 0.646 0.354 0.354
Na3 Na 0.000 0.339 0.661
Na4 Na 0.000 0.661 0.339
Na5 Na 0.297 0.203 0.203
Na6 Na 0.703 0.797 0.797
Ag1 Ag 0.000 0.500 0.000
Ag2 Ag 0.500 0.500 0.000
Ag3 Ag 0.000 0.000 0.500
Ag4 Ag 0.500 0.000 0.500
Ag5 Ag 0.500 0.778 0.222
Ag6 Ag 0.500 0.222 0.778



Entry 3:
# BaNaAg2 (GGA-PBE, optimized geometry)
# formation energy	-174	meV/atom
# E_tot	-2.41	eV per atom
# polymorph energy (0 for the lowest one)	0	meV/atom
data_BaNaAg2
_cell_length_a 4.870
_cell_length_b 8.791
_cell_length_c 11.634
_cell_angle_alpha 90.00
_cell_angle_beta 90.00
_cell_angle_gamma 90.00
_space_group_name_H-M_alt 'P 1'
_space_group_IT_number 1
loop_
_space_group_symop_operation_xyz
'x,y,z'
loop_
_atom_site_label
_atom_site_type_symbol
_atom_site_fract_x
_atom_site_fract_y
_atom_site_fract_z
Ba1 Ba 0.750 0.848 0.144
Ba2 Ba 0.250 0.152 0.856
Ba3 Ba 0.750 0.348 0.356
Ba4 Ba 0.250 0.652 0.644
Na1 Na 0.250 0.479 0.101
Na2 Na 0.250 0.979 0.399
Na3 Na 0.750 0.521 0.899
Na4 Na 0.750 0.021 0.601
Ag1 Ag 0.750 0.856 0.833
Ag2 Ag 0.250 0.144 0.167
Ag3 Ag 0.750 0.356 0.667
Ag4 Ag 0.250 0.644 0.333
Ag5 Ag 0.750 0.741 0.434
Ag6 Ag 0.250 0.759 0.934
Ag7 Ag 0.750 0.241 0.066
Ag8 Ag 0.250 0.259 0.566



Entry 4:
# Ba8NaAg2 (GGA-PBE, optimized geometry)
# formation energy	-55	meV/atom
# E_tot	-2.09	eV per atom
data_Ba8NaAg2
_cell_length_a 6.875
_cell_length_b 9.557
_cell_length_c 9.557
_cell_angle_alpha 111.34
_cell_angle_beta 97.68
_cell_angle_gamma 97.68
_space_group_name_H-M_alt 'P 1'
_space_group_IT_number 1
loop_
_space_group_symop_operation_xyz
'x,y,z'
loop_
_atom_site_label
_atom_site_type_symbol
_atom_site_fract_x
_atom_site_fract_y
_atom_site_fract_z
Ba1 Ba 0.906 0.936 0.668
Ba2 Ba 0.906 0.668 0.936
Ba3 Ba 0.295 0.618 0.618
Ba4 Ba 0.500 0.749 0.251
Ba5 Ba 0.500 0.251 0.749
Ba6 Ba 0.705 0.382 0.382
Ba7 Ba 0.094 0.332 0.064
Ba8 Ba 0.094 0.064 0.332
Na1 Na 0.500 0.000 0.000
Ag1 Ag 0.000 0.315 0.685
Ag2 Ag 0.000 0.685 0.315



Entry 5:
# Ba5NaAg4 (GGA-PBE, optimized geometry)
# formation energy	-192	meV/atom
# E_tot	-2.43	eV per atom
data_Ba5NaAg4
_cell_length_a 4.161
_cell_length_b 4.161
_cell_length_c 21.954
_cell_angle_alpha 90.00
_cell_angle_beta 90.00
_cell_angle_gamma 90.00
_space_group_name_H-M_alt 'P 1'
_space_group_IT_number 1
loop_
_space_group_symop_operation_xyz
'x,y,z'
loop_
_atom_site_label
_atom_site_type_symbol
_atom_site_fract_x
_atom_site_fract_y
_atom_site_fract_z
Ba1 Ba 0.500 0.500 0.131
Ba2 Ba 0.500 0.500 0.313
Ba3 Ba 0.500 0.500 0.500
Ba4 Ba 0.500 0.500 0.687
Ba5 Ba 0.500 0.500 0.869
Na1 Na 0.000 0.000 0.000
Ag1 Ag 0.000 0.000 0.219
Ag2 Ag 0.000 0.000 0.407
Ag3 Ag 0.000 0.000 0.593
Ag4 Ag 0.000 0.000 0.781



Entry 6:
# BaNaAg (GGA-PBE, optimized geometry)
# formation energy	-158	meV/atom
# E_tot	-2.19	eV per atom
# polymorph energy (0 for the lowest one)	16	meV/atom
data_BaNaAg
_cell_length_a 4.841
_cell_length_b 7.794
_cell_length_c 6.662
_cell_angle_alpha 72.72
_cell_angle_beta 68.70
_cell_angle_gamma 71.91
_space_group_name_H-M_alt 'P 1'
_space_group_IT_number 1
loop_
_space_group_symop_operation_xyz
'x,y,z'
loop_
_atom_site_label
_atom_site_type_symbol
_atom_site_fract_x
_atom_site_fract_y
_atom_site_fract_z
Ba1 Ba 0.572 0.672 0.184
Ba2 Ba 0.428 0.328 0.816
Na1 Na 0.194 0.917 0.695
Na2 Na 0.806 0.083 0.305
Ag1 Ag 0.133 0.339 0.395
Ag2 Ag 0.867 0.661 0.605



Entry 7:
# Ba12NaAg5 (GGA-PBE, optimized geometry)
# formation energy	-147	meV/atom
# E_tot	-2.29	eV per atom
data_Ba12NaAg5
_cell_length_a 10.316
_cell_length_b 10.316
_cell_length_c 10.316
_cell_angle_alpha 104.93
_cell_angle_beta 113.13
_cell_angle_gamma 110.46
_space_group_name_H-M_alt 'P 1'
_space_group_IT_number 1
loop_
_space_group_symop_operation_xyz
'x,y,z'
loop_
_atom_site_label
_atom_site_type_symbol
_atom_site_fract_x
_atom_site_fract_y
_atom_site_fract_z
Ba1 Ba 0.538 0.822 0.716
Ba2 Ba 0.462 0.178 0.284
Ba3 Ba 0.894 0.178 0.716
Ba4 Ba 0.106 0.822 0.284
Ba5 Ba 0.693 0.677 0.369
Ba6 Ba 0.307 0.323 0.631
Ba7 Ba 0.307 0.677 0.984
Ba8 Ba 0.693 0.323 0.016
Ba9 Ba 0.809 0.590 0.781
Ba10 Ba 0.191 0.410 0.219
Ba11 Ba 0.191 0.972 0.781
Ba12 Ba 0.809 0.028 0.219
Na1 Na 0.000 0.500 0.500
Ag1 Ag 0.633 0.633 0.000
Ag2 Ag 0.367 0.367 0.000
Ag3 Ag 0.500 0.116 0.616
Ag4 Ag 0.500 0.884 0.384
Ag5 Ag 0.000 0.000 0.000



Entry 8:
# Ba3Na2Ag (GGA-PBE, optimized geometry)
# formation energy	-72	meV/atom
# E_tot	-1.95	eV per atom
data_Ba3Na2Ag
_cell_length_a 6.543
_cell_length_b 9.230
_cell_length_c 10.443
_cell_angle_alpha 90.02
_cell_angle_beta 108.26
_cell_angle_gamma 90.00
_space_group_name_H-M_alt 'P 1'
_space_group_IT_number 1
loop_
_space_group_symop_operation_xyz
'x,y,z'
loop_
_atom_site_label
_atom_site_type_symbol
_atom_site_fract_x
_atom_site_fract_y
_atom_site_fract_z
Ba1 Ba 0.499 0.750 0.000
Ba2 Ba 0.501 0.250 0.000
Ba3 Ba 0.875 0.000 0.750
Ba4 Ba 0.125 0.500 0.250
Ba5 Ba 0.875 0.500 0.750
Ba6 Ba 0.125 0.000 0.250
Na1 Na 0.299 0.251 0.598
Na2 Na 0.300 0.751 0.598
Na3 Na 0.700 0.249 0.402
Na4 Na 0.701 0.749 0.402
Ag1 Ag 0.001 0.250 0.000
Ag2 Ag 0.999 0.750 0.000



Entry 9:
# Ba2NaAg (GGA-PBE, optimized geometry)
# formation energy	57	meV/atom
# E_tot	-1.95	eV per atom
# polymorph energy (0 for the lowest one)	189	meV/atom
data_Ba2NaAg
_cell_length_a 9.671
_cell_length_b 9.671
_cell_length_c 7.949
_cell_angle_alpha 52.53
_cell_angle_beta 52.53
_cell_angle_gamma 90.00
_space_group_name_H-M_alt 'P 1'
_space_group_IT_number 1
loop_
_space_group_symop_operation_xyz
'x,y,z'
loop_
_atom_site_label
_atom_site_type_symbol
_atom_site_fract_x
_atom_site_fract_y
_atom_site_fract_z
Na1 Na 0.500 0.500 0.000
Na2 Na 0.250 0.750 0.500
Ba1 Ba 0.672 0.125 0.250
Ba2 Ba 0.078 0.625 0.250
Ba3 Ba 0.375 0.328 0.750
Ba4 Ba 0.875 0.922 0.750
Ag1 Ag 0.000 0.000 0.000
Ag2 Ag 0.750 0.250 0.500



Entry 10:
# BaNaAg (GGA-PBE, optimized geometry)
# formation energy	-131	meV/atom
# E_tot	-2.16	eV per atom
# polymorph energy (0 for the lowest one)	43	meV/atom
data_BaNaAg
_cell_length_a 6.723
_cell_length_b 7.883
_cell_length_c 9.167
_cell_angle_alpha 90.00
_cell_angle_beta 90.00
_cell_angle_gamma 115.24
_space_group_name_H-M_alt 'P 1'
_space_group_IT_number 1
loop_
_space_group_symop_operation_xyz
'x,y,z'
loop_
_atom_site_label
_atom_site_type_symbol
_atom_site_fract_x
_atom_site_fract_y
_atom_site_fract_z
Ag1 Ag 0.595 0.190 0.547
Ag2 Ag 0.905 0.810 0.047
Ag3 Ag 0.405 0.810 0.453
Ag4 Ag 0.095 0.190 0.953
Na1 Na 0.305 0.110 0.250
Na2 Na 0.195 0.890 0.750
Na3 Na 0.695 0.890 0.750
Na4 Na 0.805 0.110 0.250
Ba1 Ba 0.816 0.633 0.398
Ba2 Ba 0.684 0.367 0.898
Ba3 Ba 0.184 0.367 0.602
Ba4 Ba 0.316 0.633 0.102



Entry 11:
# BaNa2Ag2 (GGA-PBE, optimized geometry)
# formation energy	-8	meV/atom
# E_tot	-2.06	eV per atom
# polymorph energy (0 for the lowest one)	127	meV/atom
data_BaNa2Ag2
_cell_length_a 8.512
_cell_length_b 8.512
_cell_length_c 4.357
_cell_angle_alpha 90.00
_cell_angle_beta 90.00
_cell_angle_gamma 90.00
_space_group_name_H-M_alt 'P 1'
_space_group_IT_number 1
loop_
_space_group_symop_operation_xyz
'x,y,z'
loop_
_atom_site_label
_atom_site_type_symbol
_atom_site_fract_x
_atom_site_fract_y
_atom_site_fract_z
Na1 Na 0.152 0.652 0.500
Na2 Na 0.652 0.848 0.500
Na3 Na 0.848 0.348 0.500
Na4 Na 0.348 0.152 0.500
Ba1 Ba 0.000 0.000 0.000
Ba2 Ba 0.500 0.500 0.000
Ag1 Ag 0.380 0.880 0.000
Ag2 Ag 0.880 0.620 0.000
Ag3 Ag 0.620 0.120 0.000
Ag4 Ag 0.120 0.380 0.000



What is the formation energy in the ninth record? 57 meV/atom



What is the formula in the first record? Ba8Na2Ag3